## KRhN3 (GGA-PBE)

Data for a relaxed KRhN3 crystal.

abc: 3.966 3.966 3.966
angles: 90.00 90.00 90.00
Atoms (fractional coordinates):
N1 0.500 0.000 0.000
N2 0.000 0.000 0.500
N3 0.000 0.500 0.000
Rh1 0.000 0.000 0.000
K1 0.500 0.500 0.500

Summary:
ΔE_f (raw) in eV/f.u.: 6.719
Symmetry: Pm-3m (221)

=====

## Ba2ReIr (GGA-PBE)

Data for a relaxed Ba2ReIr crystal.

abc: 4.075 4.214 7.755
angles: 57.03 90.00 90.00
Atoms (fractional coordinates):
Ba1 0.000 0.507 0.493
Ba2 0.000 0.993 0.007
Ir1 0.500 0.250 0.250
Re1 0.500 0.750 0.750

Summary:
ΔE_f in eV/f.u.: 4.63
Symmetry: P2/m (10)

=====

## KNpBi2 (GGA-PBE)

Data for a relaxed KNpBi2 crystal.

abc: 3.531 3.531 10.101
angles: 90.00 90.00 90.00
Atoms (fractional coordinates):
Bi1 0.000 0.000 0.771
Bi2 0.000 0.000 0.229
Np1 0.500 0.500 0.000
K1 0.500 0.500 0.500

Summary:
ΔE_f in eV/f.u.: -0.66
Symmetry: P4/mmm (123)

=====

What did the second record say?
## Ba2ReIr (GGA-PBE)

Data for a relaxed Ba2ReIr crystal.

abc: 4.075 4.214 7.755
angles: 57.03 90.00 90.00
Atoms (fractional coordinates):
Ba1 0.000 0.507 0.493
Ba2 0.000 0.993 0.007
Ir1 0.500 0.250 0.250
Re1 0.500 0.750 0.750

Summary:
ΔE_f in eV/f.u.: 4.63
Symmetry: P2/m (10)

=====

Question: Which formula does entry 1 have?
Answer: KRhN3